# GGA-PBE KCeAg2Cl6, relaxed
# raw total energy = -3.826 eV/atom
# density of states at the Fermi level = 8.3 states/eV/f.u.
data_KCeAg2Cl6
_chemical_formula_sum 'K1 Ce1 Ag2 Cl6'
_symmetry_space_group_name_H-M 'P 1'
_symmetry_Int_Tables_number 1
_cell_length_a 7.366
_cell_length_b 7.366
_cell_length_c 7.807
_cell_angle_alpha 90.01
_cell_angle_beta 118.15
_cell_angle_gamma 120.00
loop_
_symmetry_equiv_pos_as_xyz
'x,y,z'
loop_
_atom_site_label
_atom_site_fract_x
_atom_site_fract_y
_atom_site_fract_z
_atom_site_occupancy
K1 0.994 0.496 0.476 1
Ce1 0.003 0.001 0.991 1
Ag1 0.592 0.796 0.373 1
Ag2 0.496 0.247 0.730 1
Cl1 0.538 0.929 0.707 1
Cl2 0.458 0.057 0.204 1
Cl3 0.819 0.761 0.204 1
Cl4 0.161 0.399 0.204 1
Cl5 0.793 0.608 0.707 1
Cl6 0.113 0.183 0.707 1



# GGA-PBE KCeAgCl6, relaxed
# raw total energy = -3.977 eV/atom
data_KCeAgCl6
_chemical_formula_sum 'K2 Ce2 Ag2 Cl12'
_symmetry_space_group_name_H-M 'P 1'
_symmetry_Int_Tables_number 1
_cell_length_a 6.965
_cell_length_b 6.965
_cell_length_c 14.031
_cell_angle_alpha 90.00
_cell_angle_beta 90.00
_cell_angle_gamma 120.00
loop_
_symmetry_equiv_pos_as_xyz
'x,y,z'
loop_
_atom_site_label
_atom_site_fract_x
_atom_site_fract_y
_atom_site_fract_z
_atom_site_occupancy
K1 0.000 0.000 0.000 1
K2 0.000 0.000 0.500 1
Ce1 0.667 0.333 0.250 1
Ce2 0.333 0.667 0.750 1
Ag1 0.333 0.667 0.250 1
Ag2 0.667 0.333 0.750 1
Cl1 0.645 0.631 0.140 1
Cl2 0.986 0.355 0.140 1
Cl3 0.355 0.986 0.640 1
Cl4 0.014 0.645 0.860 1
Cl5 0.369 0.355 0.360 1
Cl6 0.986 0.631 0.360 1
Cl7 0.631 0.986 0.860 1
Cl8 0.645 0.014 0.360 1
Cl9 0.014 0.369 0.640 1
Cl10 0.369 0.014 0.140 1
Cl11 0.631 0.645 0.640 1
Cl12 0.355 0.369 0.860 1



# GGA-PBE K3CeAg2Cl9, relaxed
# raw total energy = -3.646 eV/atom
# density of states at the Fermi level = 6.6 states/eV/f.u.
data_K3CeAg2Cl9
_chemical_formula_sum 'K3 Ce1 Ag2 Cl9'
_symmetry_space_group_name_H-M 'P 1'
_symmetry_Int_Tables_number 1
_cell_length_a 7.522
_cell_length_b 7.522
_cell_length_c 9.522
_cell_angle_alpha 90.00
_cell_angle_beta 90.00
_cell_angle_gamma 120.00
loop_
_symmetry_equiv_pos_as_xyz
'x,y,z'
loop_
_atom_site_label
_atom_site_fract_x
_atom_site_fract_y
_atom_site_fract_z
_atom_site_occupancy
K1 0.333 0.667 0.756 1
K2 0.000 0.000 0.000 1
K3 0.667 0.333 0.244 1
Ce1 0.000 0.000 0.500 1
Ag1 0.333 0.667 0.160 1
Ag2 0.667 0.333 0.840 1
Cl1 0.837 0.163 0.666 1
Cl2 0.837 0.673 0.666 1
Cl3 0.327 0.163 0.666 1
Cl4 0.673 0.837 0.334 1
Cl5 0.163 0.327 0.334 1
Cl6 0.163 0.837 0.334 1
Cl7 0.500 0.000 0.000 1
Cl8 0.000 0.500 0.000 1
Cl9 0.500 0.500 0.000 1



# GGA-PBE Li2CeAgCl6, relaxed
# raw total energy = -4.019 eV/atom
# density of states at the Fermi level = 8.5 states/eV/f.u.
data_Li2CeAgCl6
_chemical_formula_sum 'Li4 Ce2 Ag2 Cl12'
_symmetry_space_group_name_H-M 'P 1'
_symmetry_Int_Tables_number 1
_cell_length_a 6.959
_cell_length_b 6.687
_cell_length_c 11.008
_cell_angle_alpha 90.00
_cell_angle_beta 92.38
_cell_angle_gamma 90.00
loop_
_symmetry_equiv_pos_as_xyz
'x,y,z'
loop_
_atom_site_label
_atom_site_fract_x
_atom_site_fract_y
_atom_site_fract_z
_atom_site_occupancy
Li1 0.042 0.011 0.233 1
Li2 0.458 0.511 0.267 1
Li3 0.542 0.489 0.733 1
Li4 0.958 0.989 0.767 1
Ce1 0.000 0.500 0.500 1
Ce2 0.500 0.000 0.000 1
Ag1 0.000 0.500 0.000 1
Ag2 0.500 0.000 0.500 1
Cl1 0.861 0.342 0.718 1
Cl2 0.856 0.175 0.061 1
Cl3 0.860 0.166 0.387 1
Cl4 0.640 0.666 0.113 1
Cl5 0.644 0.675 0.439 1
Cl6 0.639 0.842 0.782 1
Cl7 0.361 0.158 0.218 1
Cl8 0.356 0.325 0.561 1
Cl9 0.360 0.334 0.887 1
Cl10 0.144 0.825 0.939 1
Cl11 0.140 0.834 0.613 1
Cl12 0.139 0.658 0.282 1



# GGA-PBE LiCeAg2Cl6, relaxed
# raw total energy = -3.845 eV/atom
# density of states at the Fermi level = 8.4 states/eV/f.u.
data_LiCeAg2Cl6
_chemical_formula_sum 'Li2 Ce2 Ag4 Cl12'
_symmetry_space_group_name_H-M 'P 1'
_symmetry_Int_Tables_number 1
_cell_length_a 6.892
_cell_length_b 6.929
_cell_length_c 10.385
_cell_angle_alpha 90.00
_cell_angle_beta 89.31
_cell_angle_gamma 90.00
loop_
_symmetry_equiv_pos_as_xyz
'x,y,z'
loop_
_atom_site_label
_atom_site_fract_x
_atom_site_fract_y
_atom_site_fract_z
_atom_site_occupancy
Li1 0.000 0.500 0.000 1
Li2 0.500 0.000 0.500 1
Ce1 0.000 0.500 0.500 1
Ce2 0.500 0.000 0.000 1
Ag1 0.999 0.955 0.245 1
Ag2 0.501 0.455 0.255 1
Ag3 0.499 0.545 0.745 1
Ag4 0.001 0.045 0.755 1
Cl1 0.876 0.407 0.752 1
Cl2 0.842 0.182 0.067 1
Cl3 0.822 0.163 0.426 1
Cl4 0.678 0.663 0.074 1
Cl5 0.658 0.682 0.433 1
Cl6 0.624 0.907 0.748 1
Cl7 0.376 0.093 0.252 1
Cl8 0.342 0.318 0.567 1
Cl9 0.322 0.337 0.926 1
Cl10 0.158 0.818 0.933 1
Cl11 0.178 0.837 0.574 1
Cl12 0.124 0.593 0.248 1



# GGA-PBE NaCeAgCl6, relaxed
# raw total energy = -3.943 eV/atom
data_NaCeAgCl6
_chemical_formula_sum 'Na2 Ce2 Ag2 Cl12'
_symmetry_space_group_name_H-M 'P 1'
_symmetry_Int_Tables_number 1
_cell_length_a 6.814
_cell_length_b 6.814
_cell_length_c 12.793
_cell_angle_alpha 90.00
_cell_angle_beta 90.00
_cell_angle_gamma 120.00
loop_
_symmetry_equiv_pos_as_xyz
'x,y,z'
loop_
_atom_site_label
_atom_site_fract_x
_atom_site_fract_y
_atom_site_fract_z
_atom_site_occupancy
Na1 0.000 0.000 0.000 1
Na2 0.000 0.000 0.500 1
Ce1 0.667 0.333 0.250 1
Ce2 0.333 0.667 0.750 1
Ag1 0.333 0.667 0.250 1
Ag2 0.667 0.333 0.750 1
Cl1 0.662 0.648 0.130 1
Cl2 0.986 0.338 0.130 1
Cl3 0.338 0.986 0.630 1
Cl4 0.014 0.662 0.870 1
Cl5 0.352 0.338 0.370 1
Cl6 0.986 0.648 0.370 1
Cl7 0.648 0.986 0.870 1
Cl8 0.662 0.014 0.370 1
Cl9 0.014 0.352 0.630 1
Cl10 0.352 0.014 0.130 1
Cl11 0.648 0.662 0.630 1
Cl12 0.338 0.352 0.870 1



# GGA-PBE NaCeAg2Cl8, relaxed
# raw total energy = -3.563 eV/atom
# density of states at the Fermi level = 6.9 states/eV/f.u.
data_NaCeAg2Cl8
_chemical_formula_sum 'Na1 Ce1 Ag2 Cl8'
_symmetry_space_group_name_H-M 'P 1'
_symmetry_Int_Tables_number 1
_cell_length_a 6.743
_cell_length_b 6.398
_cell_length_c 7.947
_cell_angle_alpha 90.00
_cell_angle_beta 90.00
_cell_angle_gamma 96.12
loop_
_symmetry_equiv_pos_as_xyz
'x,y,z'
loop_
_atom_site_label
_atom_site_fract_x
_atom_site_fract_y
_atom_site_fract_z
_atom_site_occupancy
Na1 0.000 0.000 0.500 1
Ce1 0.000 0.000 0.000 1
Ag1 0.500 0.500 0.741 1
Ag2 0.500 0.500 0.259 1
Cl1 0.157 0.783 0.233 1
Cl2 0.662 0.712 0.000 1
Cl3 0.843 0.217 0.233 1
Cl4 0.843 0.217 0.767 1
Cl5 0.338 0.288 0.000 1
Cl6 0.157 0.783 0.767 1
Cl7 0.651 0.724 0.500 1
Cl8 0.349 0.276 0.500 1



# GGA-PBE Na2CeAgCl8, relaxed
# raw total energy = -3.652 eV/atom
# density of states at the Fermi level = 2.6 states/eV/f.u.
data_Na2CeAgCl8
_chemical_formula_sum 'Na2 Ce1 Ag1 Cl8'
_symmetry_space_group_name_H-M 'P 1'
_symmetry_Int_Tables_number 1
_cell_length_a 6.519
_cell_length_b 6.414
_cell_length_c 8.433
_cell_angle_alpha 85.37
_cell_angle_beta 93.90
_cell_angle_gamma 96.44
loop_
_symmetry_equiv_pos_as_xyz
'x,y,z'
loop_
_atom_site_label
_atom_site_fract_x
_atom_site_fract_y
_atom_site_fract_z
_atom_site_occupancy
Na1 0.485 0.510 0.739 1
Na2 0.515 0.490 0.261 1
Ce1 0.000 0.000 0.000 1
Ag1 0.000 0.000 0.500 1
Cl1 0.164 0.745 0.212 1
Cl2 0.657 0.743 0.993 1
Cl3 0.861 0.190 0.246 1
Cl4 0.836 0.255 0.788 1
Cl5 0.343 0.257 0.007 1
Cl6 0.139 0.810 0.754 1
Cl7 0.691 0.745 0.495 1
Cl8 0.309 0.255 0.505 1



# GGA-PBE RbCeAgCl6, relaxed
# raw total energy = -3.969 eV/atom
data_RbCeAgCl6
_chemical_formula_sum 'Rb2 Ce2 Ag2 Cl12'
_symmetry_space_group_name_H-M 'P 1'
_symmetry_Int_Tables_number 1
_cell_length_a 6.995
_cell_length_b 6.995
_cell_length_c 14.783
_cell_angle_alpha 90.00
_cell_angle_beta 90.00
_cell_angle_gamma 120.00
loop_
_symmetry_equiv_pos_as_xyz
'x,y,z'
loop_
_atom_site_label
_atom_site_fract_x
_atom_site_fract_y
_atom_site_fract_z
_atom_site_occupancy
Rb1 0.000 0.000 0.000 1
Rb2 0.000 0.000 0.500 1
Ce1 0.667 0.333 0.250 1
Ce2 0.333 0.667 0.750 1
Ag1 0.333 0.667 0.250 1
Ag2 0.667 0.333 0.750 1
Cl1 0.641 0.627 0.145 1
Cl2 0.986 0.359 0.145 1
Cl3 0.359 0.986 0.645 1
Cl4 0.014 0.641 0.855 1
Cl5 0.373 0.359 0.355 1
Cl6 0.986 0.627 0.355 1
Cl7 0.627 0.986 0.855 1
Cl8 0.641 0.014 0.355 1
Cl9 0.014 0.373 0.645 1
Cl10 0.373 0.014 0.145 1
Cl11 0.627 0.641 0.645 1
Cl12 0.359 0.373 0.855 1



# GGA-PBE Rb2CeAgCl6, relaxed
# raw total energy = -3.960 eV/atom
# density of states at the Fermi level = 8.3 states/eV/f.u.
data_Rb2CeAgCl6
_chemical_formula_sum 'Rb4 Ce2 Ag2 Cl12'
_symmetry_space_group_name_H-M 'P 1'
_symmetry_Int_Tables_number 1
_cell_length_a 7.576
_cell_length_b 7.832
_cell_length_c 10.717
_cell_angle_alpha 90.00
_cell_angle_beta 90.54
_cell_angle_gamma 90.00
loop_
_symmetry_equiv_pos_as_xyz
'x,y,z'
loop_
_atom_site_label
_atom_site_fract_x
_atom_site_fract_y
_atom_site_fract_z
_atom_site_occupancy
Rb1 0.017 0.941 0.249 1
Rb2 0.517 0.559 0.749 1
Rb3 0.983 0.059 0.751 1
Rb4 0.483 0.441 0.251 1
Ce1 0.500 0.000 0.000 1
Ce2 0.000 0.500 0.500 1
Ag1 0.500 0.000 0.500 1
Ag2 0.000 0.500 0.000 1
Cl1 0.299 0.710 0.041 1
Cl2 0.799 0.790 0.541 1
Cl3 0.701 0.290 0.959 1
Cl4 0.201 0.210 0.459 1
Cl5 0.293 0.702 0.458 1
Cl6 0.793 0.798 0.958 1
Cl7 0.707 0.298 0.542 1
Cl8 0.207 0.202 0.042 1
Cl9 0.919 0.520 0.249 1
Cl10 0.419 0.980 0.749 1
Cl11 0.081 0.480 0.751 1
Cl12 0.581 0.020 0.251 1



# GGA-PBE Rb2CeAgCl6, relaxed
# raw total energy = -3.938 eV/atom
# density of states at the Fermi level = 8.3 states/eV/f.u.
data_Rb2CeAgCl6
_chemical_formula_sum 'Rb2 Ce1 Ag1 Cl6'
_symmetry_space_group_name_H-M 'P 1'
_symmetry_Int_Tables_number 1
_cell_length_a 7.749
_cell_length_b 7.749
_cell_length_c 7.749
_cell_angle_alpha 60.00
_cell_angle_beta 60.00
_cell_angle_gamma 60.00
loop_
_symmetry_equiv_pos_as_xyz
'x,y,z'
loop_
_atom_site_label
_atom_site_fract_x
_atom_site_fract_y
_atom_site_fract_z
_atom_site_occupancy
Rb1 0.750 0.750 0.750 1
Rb2 0.250 0.250 0.250 1
Ce1 0.500 0.500 0.500 1
Ag1 0.000 0.000 0.000 1
Cl1 0.750 0.250 0.250 1
Cl2 0.250 0.250 0.750 1
Cl3 0.250 0.750 0.750 1
Cl4 0.250 0.750 0.250 1
Cl5 0.750 0.250 0.750 1
Cl6 0.750 0.750 0.250 1



# GGA-PBE SrCeAg2Cl8, relaxed
# raw total energy = -3.898 eV/atom
# density of states at the Fermi level = 2.9 states/eV/f.u.
data_SrCeAg2Cl8
_chemical_formula_sum 'Sr1 Ce1 Ag2 Cl8'
_symmetry_space_group_name_H-M 'P 1'
_symmetry_Int_Tables_number 1
_cell_length_a 6.636
_cell_length_b 6.488
_cell_length_c 8.646
_cell_angle_alpha 84.70
_cell_angle_beta 86.05
_cell_angle_gamma 91.93
loop_
_symmetry_equiv_pos_as_xyz
'x,y,z'
loop_
_atom_site_label
_atom_site_fract_x
_atom_site_fract_y
_atom_site_fract_z
_atom_site_occupancy
Sr1 0.000 0.000 0.500 1
Ce1 0.000 0.000 0.000 1
Ag1 0.469 0.453 0.724 1
Ag2 0.531 0.547 0.276 1
Cl1 0.162 0.782 0.234 1
Cl2 0.685 0.736 0.025 1
Cl3 0.833 0.212 0.221 1
Cl4 0.838 0.218 0.766 1
Cl5 0.315 0.264 0.975 1
Cl6 0.167 0.788 0.779 1
Cl7 0.659 0.720 0.527 1
Cl8 0.341 0.280 0.473 1



It is found that the energy relative to the elements, uncorrected values, taken in the order of the records, are -1.445; -1.648; -1.543; -1.649; -1.382; -1.589; -1.252; -1.469; -1.654; -1.780; -1.758; -1.557 eV/atom.